Computed, not measured: a relaxed BeCoF2 crystal at the GGA+U level of DFT.

Output
- energy relative to the lowest polymorph listed for this composition (kJ/mol of atoms) = 29.81
- total magnetic moment (μB/f.u.) = 2.60
- SG = No. 227

Cell and atoms, written as POSCAR:
```
BeCoF2
1.0
0.554 -5.163 -0.667
-0.659 -3.248 4.053
-4.193 -3.129 0.192
Be Co F
2 2 4
Cartesian
-1.075 -2.885 0.894
0.000 0.000 0.000
-3.224 -8.656 2.683
-2.149 -5.770 1.789
-0.867 -3.067 2.474
-0.260 -4.024 0.114
-0.537 -1.443 0.447
-2.634 -3.007 0.543
```